Crystalline Er3Zn2Rh at its relaxed geometry. Source: the Alexandria database, functional PBE.

```
Er3Zn2Rh
1.0
-3.810 -0.257 3.091
2.810 -3.956 -0.769
3.601 1.668 4.576
Rh Er Zn
1 3 2
Cartesian
0.000 0.000 0.000
1.164 -2.463 1.230
1.437 -0.081 5.668
1.801 0.834 2.288
2.946 -1.637 3.495
-0.345 -0.907 3.403
```

Output
Volume   126.6 Å³ per cell
Total energy   -4.490 eV per atom

Crystalline Er3ZnRh at its relaxed geometry. Source: the Alexandria database, functional PBE.

```
Er3ZnRh
1.0
7.155 0.001 0.001
-0.003 8.593 0.176
-0.003 1.917 8.378
Zn Er Rh
4 12 4
Cartesian
1.786 6.429 2.835
1.786 8.526 0.259
5.363 4.082 5.721
5.363 1.985 8.297
0.060 1.657 5.871
-0.003 6.598 5.370
7.091 6.086 0.431
3.512 4.425 8.124
3.637 6.086 0.431
3.636 8.855 2.684
3.513 1.657 5.871
3.575 3.912 3.184
0.059 4.425 8.125
7.089 8.854 2.684
3.575 6.599 5.371
7.152 3.913 3.185
5.363 8.600 4.928
5.364 3.941 1.135
1.787 1.911 3.628
1.785 6.570 7.420
```

Output
Offset from the most stable computed form   2.929 kcal/mol of atoms
Volume   512.7 Å³ per cell
Total energy   -4.861 eV per atom

Crystalline Er3ZnRh4 at its relaxed geometry. Source: the Alexandria database, functional PBE.

```
Er3ZnRh4
1.0
-1.662 0.921 4.283
3.768 -4.766 2.488
6.914 6.174 1.356
Rh Er Zn
8 6 2
Cartesian
0.136 -0.763 2.780
1.969 -3.081 3.990
5.426 0.006 4.668
2.696 0.320 0.980
4.492 4.328 5.937
4.528 -1.998 2.189
6.324 2.010 7.146
3.593 2.324 3.458
2.781 -0.378 3.726
6.239 2.708 4.401
4.355 5.091 3.157
0.000 0.000 0.000
3.457 3.087 0.678
0.897 2.004 2.481
5.341 0.704 1.922
1.884 -2.383 1.244
```

Output
Volume   288.2 Å³ per cell
Total energy   -6.349 eV per atom

Crystalline Er4Zn2Rh at its relaxed geometry. Source: the Alexandria database, functional PBE.

```
Er4Zn2Rh
1.0
-2.764 -0.424 5.294
4.533 -3.906 -0.181
2.084 5.569 -0.701
Er Rh Zn
4 1 2
Cartesian
-1.382 -0.212 2.647
1.042 2.784 -0.350
1.927 0.619 2.206
2.267 -1.953 -0.091
0.000 0.000 0.000
-0.340 2.572 2.296
0.885 -2.165 2.556
```

Output
Volume   165.2 Å³ per cell
Total energy   -4.417 eV per atom

Crystalline ErZrZnRh at its relaxed geometry. Source: the Alexandria database, functional PBE.

```
ErZrZnRh
1.0
4.796 0.000 0.000
2.398 4.153 0.000
2.398 1.384 3.916
Zr Zn Rh Er
1 1 1 1
Cartesian
2.398 1.384 0.979
0.000 0.000 0.000
4.796 2.769 1.958
7.194 4.153 2.937
```

Output
Volume   78.0 Å³ per cell
Total energy   -5.938 eV per atom

Crystalline Er4ZrRh5 at its relaxed geometry. Source: the Alexandria database, functional PBE.

```
Er4ZrRh5
1.0
3.345 0.000 0.000
0.000 3.345 0.000
0.000 0.000 17.235
Rh Er Zr
5 4 1
Cartesian
1.673 1.673 12.113
1.673 1.673 8.618
1.673 1.673 5.123
1.673 1.673 1.562
1.673 1.673 15.673
0.000 0.000 3.409
0.000 0.000 10.357
0.000 0.000 13.826
0.000 0.000 6.878
0.000 0.000 0.000
```

Output
Volume   192.9 Å³ per cell
Total energy   -7.261 eV per atom